# NaLiNi2N

A relaxed structure of NaLiNi2N (GGA-PBE, Alexandria via LeMat-Bulk).

Its total energy is -23.51 eV/cell. Its crystal system is tetragonal.

Lattice parameters (Å, degrees): 3.7734 3.7734 4.2055 90.00 90.00 90.00
Last column: nearest neighbours and their distance in Å.
Space group P4/mmm (No. 123)
Symmetry-distinct sites (fractional):
Na 0.0000 0.0000 0.0000 (multiplicity 1)  4 Li 2.67, 8 Ni 2.83
Li 0.5000 0.5000 0.0000 (multiplicity 1)  2 N 2.10
Ni 0.0000 0.5000 0.5000 (multiplicity 2)  2 N 1.89
N 0.5000 0.5000 0.5000 (multiplicity 1)  4 Ni 1.89, 2 Li 2.10

***

# Na2LiGa4Ge3

A relaxed structure of Na2LiGa4Ge3 (GGA-PBE, Alexandria via LeMat-Bulk).

The calculation puts the formation energy at -0.1202 eV/atom. Its total energy is -31.71 eV/cell. Its crystal system is tetragonal.

Lattice parameters (Å, degrees): 4.3491 4.3491 11.0608 90.00 90.00 90.00
Last column: nearest neighbours and their distance in Å.
Space group P-4m2 (No. 115)
Symmetry-distinct sites (fractional):
Na 0.0000 0.5000 0.2486 (multiplicity 2)  8 Ga 3.31-3.53, 6 Ge 3.34-3.51, 2 Li 3.51
Li 0.5000 0.5000 0.0000 (multiplicity 1)  4 Ga 2.66
Ga 0.0000 0.0000 0.5000 (multiplicity 1)  4 Ge 2.63
Ga 0.0000 0.5000 0.8618 (multiplicity 2)  3 Ge 2.52-2.66, 2 Li 2.66
Ga 0.5000 0.5000 0.5000 (multiplicity 1)  4 Ge 2.63
Ge 0.0000 0.0000 0.0000 (multiplicity 1)  4 Ga 2.66
Ge 0.0000 0.5000 0.6341 (multiplicity 2)  5 Ga 2.52-2.63